Material: BaSr3
Method: DFT, GGA-PBEsol
State: relaxed

## Properties
- Crystal system: orthorhombic
- Space group: No. 71
- N(E_F): 4.5 states/eV/cell
- Energy of formation: 3 meV per atom
- V: 211 Å³ per cell
- Distance to the lowest polymorph of the same formula: 3.9 meV per atom
- Total magnetization: 0.00 μB/cell

```
BaSr3
1.0
-0.028 -4.590 1.068
5.209 0.920 4.091
-6.779 3.038 2.483
Sr Ba
3 1
Direct
0.247 0.247 0.495 Sr
0.753 0.753 0.505 Sr
0.500 0.000 0.000 Sr
0.000 0.500 0.000 Ba
```